# 1
## Tb5Pr2Th2 (GGA-PBE)

Data for a geometry-optimized Tb5Pr2Th2 structure.

Calculated values
The calculated formation energy is 2.232 eV/f.u. The calculation puts the theoretical density at 8.08 g/cm3. The magnetization comes out at 0.000 μB per atom.

Structure (POSCAR):
```
Tb5Pr2Th2
1.0
11.328 -1.748 0.000
11.328 1.748 0.000
-1.236 0.000 7.990
Tb Pr Th
5 2 2
Cartesian
0.000 0.000 0.000
1.143 0.000 5.813
6.416 0.000 3.634
15.005 0.000 4.357
20.278 0.000 2.177
3.841 0.000 1.153
17.580 0.000 6.837
9.354 0.000 5.154
12.067 0.000 2.837
```

# 2
## Tb4Pr5Th2 (GGA-PBE)

Data for a geometry-optimized Tb4Pr5Th2 structure.

Calculated values
The distance to the lowest polymorph of the same formula is 0.0 meV/atom. The calculated formation energy is 1.347 eV/f.u. The calculation puts the theoretical density at 7.91 g/cm3. The magnetization comes out at 0.000 μB per atom.

Structure (POSCAR):
```
Tb4Pr5Th2
1.0
8.996 0.000 0.000
0.000 3.533 0.000
-0.886 0.000 11.911
Tb Pr Th
4 5 2
Cartesian
1.081 0.000 4.678
1.862 0.000 11.338
6.249 0.000 0.573
7.029 0.000 7.233
1.136 1.767 7.931
3.607 1.767 2.490
4.055 1.767 5.956
4.503 1.767 9.422
6.974 1.767 3.981
0.273 1.767 1.565
7.837 1.767 10.346
```

# 3
## TbPrTh2 (GGA-PBE)

Data for a geometry-optimized TbPrTh2 structure.

Calculated values
The distance to the lowest polymorph of the same formula is 47.4 meV/atom. The calculated formation energy is 0.310 eV/f.u. The calculation puts the theoretical density at 9.62 g/cm3. The magnetization comes out at 0.000 μB per atom.

Structure (POSCAR):
```
TbPrTh2
1.0
5.039 0.000 0.000
0.000 5.039 0.000
0.000 0.000 5.194
Tb Pr Th
1 1 2
Cartesian
0.000 0.000 0.000
2.519 2.519 0.000
0.000 2.519 2.597
2.519 0.000 2.597
```

# 4
## TbPr14Th (GGA-PBE)

Data for a geometry-optimized TbPr14Th structure.

Calculated values
The calculated formation energy is 0.383 eV/f.u. The calculation puts the theoretical density at 6.86 g/cm3. The magnetization comes out at 0.000 μB per atom.

Structure (POSCAR):
```
TbPr14Th
1.0
7.375 0.000 0.000
0.000 7.375 0.000
0.000 0.000 10.516
Tb Pr Th
1 14 1
Cartesian
0.000 0.000 0.000
0.000 0.000 5.258
0.000 3.687 0.000
0.000 3.687 5.258
1.860 1.860 2.587
1.860 1.860 7.929
1.860 5.515 2.587
1.860 5.515 7.929
3.687 0.000 0.000
3.687 0.000 5.258
3.687 3.687 5.258
5.515 1.860 2.587
5.515 1.860 7.929
5.515 5.515 2.587
5.515 5.515 7.929
3.687 3.687 0.000
```

# 5
## Tb2PrTh (GGA-PBE)

Data for a geometry-optimized Tb2PrTh structure.

Calculated values
The distance to the lowest polymorph of the same formula is 18.3 meV/atom. The calculated formation energy is 0.071 eV/f.u. The calculation puts the theoretical density at 8.67 g/cm3. The magnetization comes out at 0.000 μB per atom.

Structure (POSCAR):
```
Tb2PrTh
1.0
3.604 0.000 0.000
0.000 3.604 0.000
0.000 0.000 10.185
Tb Pr Th
2 1 1
Cartesian
0.000 0.000 2.428
0.000 0.000 7.756
1.802 1.802 5.092
1.802 1.802 0.000
```

# 6
## Tb2PrTh2 (GGA-PBE)

Data for a geometry-optimized Tb2PrTh2 structure.

Calculated values
The distance to the lowest polymorph of the same formula is 19.3 meV/atom. The calculated formation energy is 0.176 eV/f.u. The calculation puts the theoretical density at 9.31 g/cm3. The magnetization comes out at 0.000 μB per atom.

Structure (POSCAR):
```
Tb2PrTh2
1.0
3.592 0.000 0.000
-1.796 3.111 0.000
0.000 0.000 14.738
Tb Pr Th
2 1 2
Cartesian
0.000 2.074 4.390
1.796 1.037 10.349
0.000 0.000 7.369
0.000 2.074 13.292
1.796 1.037 1.446
```

# 7
## Tb8Pr2Th (GGA-PBE)

Data for a geometry-optimized Tb8Pr2Th structure.

Calculated values
The distance to the lowest polymorph of the same formula is 169.7 meV/atom. The calculated formation energy is 2.151 eV/f.u. The calculation puts the theoretical density at 7.91 g/cm3. The magnetization comes out at 0.000 μB per atom.

Structure (POSCAR):
```
Tb8Pr2Th
1.0
9.666 -3.435 0.000
9.666 3.435 0.000
-0.395 0.000 5.643
Tb Pr Th
8 2 1
Cartesian
0.851 0.000 1.288
7.109 1.787 1.553
5.854 0.000 4.384
11.828 1.787 4.089
7.109 -1.787 1.553
13.083 0.000 1.259
11.828 -1.787 4.089
18.087 0.000 4.354
4.128 0.000 1.427
14.809 0.000 4.216
9.666 0.000 0.000
```

# 8
## Tb5Pr2Th3 (GGA-PBE)

Data for a geometry-optimized Tb5Pr2Th3 structure.

Calculated values
The calculated formation energy is 0.501 eV/f.u. The calculation puts the theoretical density at 8.94 g/cm3. The magnetization comes out at 0.000 μB per atom.

Structure (POSCAR):
```
Tb5Pr2Th3
1.0
5.711 -2.530 0.000
5.711 2.530 0.000
-0.029 0.000 11.391
Tb Pr Th
5 2 3
Cartesian
0.000 0.000 0.000
2.283 0.000 4.588
3.437 0.000 1.176
7.956 0.000 10.215
9.111 0.000 6.803
4.564 0.000 9.086
6.829 0.000 2.305
1.100 0.000 7.932
5.697 0.000 5.695
10.294 0.000 3.459
```

Calculated values (eV per atom) of raw total energy for the records, taken in order: -5.035, -5.083, -5.985, -4.911, -5.347, -5.741, -4.715, -5.447.